Entry 1:
The following is a PBE-GGA calculation of a relaxed In2GaPbSe6 crystal, from Alexandria via LeMat-Bulk.

Lattice parameters (Å, degrees): 9.6517 9.6517 7.8366 108.59 108.59 87.79
Atoms (fractional coordinates):
In: 0.0956 0.2580 0.1282
In: 0.2580 0.0956 0.6282
In: 0.7420 0.9044 0.3718
In: 0.9044 0.7420 0.8718
Ga: 0.3289 0.6711 0.2500
Ga: 0.6711 0.3289 0.7500
Pb: 0.3726 0.6274 0.7500
Pb: 0.6274 0.3726 0.2500
Se: 0.0371 0.1832 0.4023
Se: 0.1394 0.6002 0.9431
Se: 0.1832 0.0371 0.9023
Se: 0.3309 0.4414 0.3332
Se: 0.3998 0.8606 0.5569
Se: 0.4414 0.3309 0.8332
Se: 0.5586 0.6691 0.1668
Se: 0.6002 0.1394 0.4431
Se: 0.6691 0.5586 0.6668
Se: 0.8168 0.9629 0.0977
Se: 0.8606 0.3998 0.0569
Se: 0.9629 0.8168 0.5977

Properties
Formation energy (no corrections): -404 meV/atom
Total energy: -3.72 eV per atom

Entry 2:
The following is a PBE-GGA calculation of a relaxed Sr3In6Ga2Pb crystal, from Alexandria via LeMat-Bulk.

Lattice parameters (Å, degrees): 6.1147 6.1147 11.5724 90.00 90.00 120.00
Atoms (fractional coordinates):
Sr: 0.0000 0.0000 0.0000
Sr: 0.3333 0.6667 0.5782
Sr: 0.6667 0.3333 0.4218
In: 0.1689 0.3377 0.2581
In: 0.1689 0.8311 0.2581
In: 0.3377 0.1689 0.7419
In: 0.6623 0.8311 0.2581
In: 0.8311 0.1689 0.7419
In: 0.8311 0.6623 0.7419
Ga: 0.3333 0.6667 0.0256
Ga: 0.6667 0.3333 0.9744
Pb: 0.0000 0.0000 0.5000

Properties
Formation energy from the elements: -176 kJ/mol of formula units
Total energy: -2.76 eV per atom

Entry 3:
The following is a PBE-GGA calculation of a relaxed Sr3In6GaPb2 crystal, from Alexandria via LeMat-Bulk.

Lattice parameters (Å, degrees): 6.3111 6.3111 10.7170 90.00 90.00 120.00
Atoms (fractional coordinates):
Sr: 0.0000 0.0000 0.0000
Sr: 0.3333 0.6667 0.5745
Sr: 0.6667 0.3333 0.4255
In: 0.1698 0.3396 0.2760
In: 0.1698 0.8302 0.2760
In: 0.3396 0.1698 0.7240
In: 0.6604 0.8302 0.2760
In: 0.8302 0.1698 0.7240
In: 0.8302 0.6604 0.7240
Ga: 0.0000 0.0000 0.5000
Pb: 0.3333 0.6667 0.0124
Pb: 0.6667 0.3333 0.9876

Properties
Formation energy from the elements: -272 kJ/mol of formula units
Total energy: -2.90 eV per atom

Please write out number 2 again, unchanged.
The following is a PBE-GGA calculation of a relaxed Sr3In6Ga2Pb crystal, from Alexandria via LeMat-Bulk.

Lattice parameters (Å, degrees): 6.1147 6.1147 11.5724 90.00 90.00 120.00
Atoms (fractional coordinates):
Sr: 0.0000 0.0000 0.0000
Sr: 0.3333 0.6667 0.5782
Sr: 0.6667 0.3333 0.4218
In: 0.1689 0.3377 0.2581
In: 0.1689 0.8311 0.2581
In: 0.3377 0.1689 0.7419
In: 0.6623 0.8311 0.2581
In: 0.8311 0.1689 0.7419
In: 0.8311 0.6623 0.7419
Ga: 0.3333 0.6667 0.0256
Ga: 0.6667 0.3333 0.9744
Pb: 0.0000 0.0000 0.5000

Properties
Formation energy from the elements: -176 kJ/mol of formula units
Total energy: -2.76 eV per atom